The following is a PBE calculation of a relaxed K3Tl5Te12 crystal, from Alexandria via LeMat-Bulk.

Properties
- Crystal system: cubic
- Volume: 39.8 Å³ per atom
- Uncorrected formation energy: -0.07 eV/atom
- SG: Ia-3d, No. 230
- D(E_F): 1.098 states/eV per atom

Cell: 16.048 16.048 16.048 Å, 109.47 109.47 109.47°
Fractional coordinates of all 80 atoms:
K1 0.125 0.250 0.375
K2 0.125 0.375 0.750
K3 0.250 0.375 0.125
K4 0.250 0.875 0.625
K5 0.375 0.125 0.250
K6 0.375 0.750 0.125
K7 0.625 0.250 0.875
K8 0.625 0.875 0.750
K9 0.750 0.125 0.375
K10 0.750 0.625 0.875
K11 0.875 0.625 0.250
K12 0.875 0.750 0.625
Tl1 0.000 0.000 0.000
Tl2 0.000 0.000 0.500
Tl3 0.000 0.500 0.000
Tl4 0.000 0.500 0.500
Tl5 0.125 0.750 0.875
Tl6 0.125 0.875 0.250
Tl7 0.250 0.125 0.875
Tl8 0.250 0.625 0.375
Tl9 0.375 0.250 0.625
Tl10 0.375 0.625 0.750
Tl11 0.500 0.000 0.000
Tl12 0.500 0.000 0.500
Tl13 0.500 0.500 0.000
Tl14 0.500 0.500 0.500
Tl15 0.625 0.375 0.250
Tl16 0.625 0.750 0.375
Tl17 0.750 0.375 0.625
Tl18 0.750 0.875 0.125
Tl19 0.875 0.125 0.750
Tl20 0.875 0.250 0.125
Te1 0.042 0.215 0.122
Te2 0.042 0.327 0.920
Te3 0.080 0.622 0.407
Te4 0.080 0.958 0.673
Te5 0.093 0.715 0.673
Te6 0.093 0.878 0.420
Te7 0.122 0.042 0.215
Te8 0.122 0.580 0.907
Te9 0.173 0.215 0.593
Te10 0.173 0.458 0.580
Te11 0.215 0.122 0.042
Te12 0.215 0.593 0.173
Te13 0.285 0.327 0.907
Te14 0.285 0.458 0.378
Te15 0.327 0.907 0.285
Te16 0.327 0.920 0.042
Te17 0.378 0.285 0.458
Te18 0.378 0.593 0.920
Te19 0.407 0.080 0.622
Te20 0.407 0.827 0.785
Te21 0.420 0.093 0.878
Te22 0.420 0.827 0.542
Te23 0.458 0.378 0.285
Te24 0.458 0.580 0.173
Te25 0.542 0.420 0.827
Te26 0.542 0.622 0.715
Te27 0.580 0.173 0.458
Te28 0.580 0.907 0.122
Te29 0.593 0.173 0.215
Te30 0.593 0.920 0.378
Te31 0.622 0.407 0.080
Te32 0.622 0.715 0.542
Te33 0.673 0.080 0.958
Te34 0.673 0.093 0.715
Te35 0.715 0.542 0.622
Te36 0.715 0.673 0.093
Te37 0.785 0.407 0.827
Te38 0.785 0.878 0.958
Te39 0.827 0.542 0.420
Te40 0.827 0.785 0.407
Te41 0.878 0.420 0.093
Te42 0.878 0.958 0.785
Te43 0.907 0.122 0.580
Te44 0.907 0.285 0.327
Te45 0.920 0.042 0.327
Te46 0.920 0.378 0.593
Te47 0.958 0.673 0.080
Te48 0.958 0.785 0.878

***

The following is a PBE calculation of a relaxed U2TcPt crystal, from Alexandria via LeMat-Bulk.

Properties
- Crystal system: trigonal
- Volume: 19.2 Å³ per atom
- SG: R-3m, No. 166
- D(E_F): 1.998 states/eV per atom
- Calculated formation energy: 132 meV per atom

Cell: 10.142 10.142 10.142 Å, 16.88 16.88 16.88°
Fractional coordinates of all 4 atoms:
U1 0.090 0.090 0.090
U2 0.910 0.910 0.910
Tc1 0.500 0.500 0.500
Pt1 0.000 0.000 0.000

***

The following is a PBE calculation of a relaxed SnSb3O crystal, from Alexandria via LeMat-Bulk.

Properties
- Crystal system: cubic
- Volume: 23.3 Å³ per atom
- Uncorrected formation energy: -0.03 eV/atom
- SG: Pm-3m, No. 221
- D(E_F): 0.646 states/eV per atom

Cell: 4.882 4.882 4.882 Å, 90.00 90.00 90.00°
Fractional coordinates of all 5 atoms:
Sn1 0.000 0.000 0.000
Sb1 0.000 0.500 0.500
Sb2 0.500 0.000 0.500
Sb3 0.500 0.500 0.000
O1 0.500 0.500 0.500

***

The following is a PBE calculation of a relaxed Mn2TlRu crystal, from Alexandria via LeMat-Bulk.

Properties
- Crystal system: monoclinic
- Volume: 15.8 Å³ per atom
- SG: Cm, No. 8
- D(E_F): 1.038 states/eV per atom
- Calculated formation energy: 445 meV per atom

Cell: 4.715 4.715 4.879 Å, 99.94 99.94 36.42°
Fractional coordinates of all 4 atoms:
Mn1 0.000 0.000 0.000
Mn2 0.246 0.246 0.769
Tl1 0.755 0.755 0.273
Ru1 0.509 0.509 0.578

***

The following is a PBE calculation of a relaxed RbAcHg2 crystal, from Alexandria via LeMat-Bulk.

Properties
- Crystal system: tetragonal
- Volume: 37.6 Å³ per atom
- SG: P4/mmm, No. 123
- D(E_F): 0.941 states/eV per atom
- Calculated formation energy: -299 meV per atom

Cell: 4.162 4.162 8.691 Å, 90.00 90.00 90.00°
Fractional coordinates of all 4 atoms:
Rb1 0.000 0.000 0.000
Ac1 0.000 0.000 0.500
Hg1 0.500 0.500 0.295
Hg2 0.500 0.500 0.705

***

The following is a PBE calculation of a relaxed CuSi2Ni crystal, from Alexandria via LeMat-Bulk.

Properties
- Crystal system: tetragonal
- Volume: 13.8 Å³ per atom
- Uncorrected formation energy: 0.24 eV/atom
- SG: I-42d, No. 122
- D(E_F): 0.459 states/eV per atom

Cell: 5.348 5.348 5.348 Å, 101.98 101.98 125.80°
Fractional coordinates of all 8 atoms:
Cu1 0.000 0.000 0.000
Cu2 0.750 0.250 0.500
Si1 0.155 0.625 0.030
Si2 0.375 0.405 0.530
Si3 0.595 0.125 0.970
Si4 0.875 0.845 0.470
Ni1 0.250 0.750 0.500
Ni2 0.500 0.500 0.000